Material: HgP2I8
Method: DFT, PBE
State: optimized geometry

Summary:
The energy relative to the elements, uncorrected comes out at -1.02 eV per formula unit. For the density of states at the Fermi level, the calculation gives 0.0 states/eV/f.u. As for the total DFT energy (no corrections): -0.1640 Ry/atom.

Cell lengths 4.606, 11.004, 11.310 Å; angles 98.25, 101.01, 96.43 degrees
Space group P-1 (No. 2)
Unique sites:
Hg  0.000  0.000  0.000
P  0.403  0.272  0.694
I  0.026  0.087  0.686
I  0.171  0.451  0.777
I  0.258  0.805  0.934
I  0.350  0.290  0.475

---

Material: CrCdRe2
Method: DFT, PBE
State: optimized geometry

Summary:
The formation energy is 0.571 eV/atom. For the density of states at the Fermi level, the calculation gives 3.8 states/eV/f.u. As for the total DFT energy (no corrections): -0.6091 Ry/atom.

Cell lengths 3.049, 4.525, 8.900 Å; angles 90.00, 90.00, 90.00 degrees
Space group Imm2 (No. 44)
Unique sites:
Cr  0.000  0.000  0.000
Cd  0.000  0.500  0.240
Re  0.000  0.000  0.464
Re  0.000  0.500  0.718

---

Material: HfP2H6O10
Method: DFT, PBE
State: optimized geometry

Summary:
For the density of states at the Fermi level, the calculation gives 0.0 states/eV/f.u. As for the total DFT energy (no corrections): -0.4906 Ry/atom.

Cell lengths 5.421, 6.640, 12.708 Å; angles 90.00, 102.18, 90.00 degrees
Space group P2_1 (No. 4)
Unique sites:
Hf  0.180  0.000  0.375
P  0.237  0.500  0.443
P  0.393  0.590  0.797
H  0.028  0.570  0.903
H  0.065  0.632  0.025
H  0.089  0.398  0.130
H  0.149  0.569  0.220
H  0.331  0.068  0.055
H  0.467  0.406  0.191
O  0.045  0.152  0.047
O  0.070  0.504  0.528
O  0.123  0.508  0.764
O  0.180  0.685  0.368
O  0.181  0.310  0.373
O  0.193  0.518  0.153
O  0.370  0.826  0.788
O  0.422  0.008  0.267
O  0.483  0.001  0.499
O  0.485  0.528  0.919

---

Material: VReSi3
Method: DFT, PBE
State: optimized geometry

Summary:
The energy relative to the elements, uncorrected comes out at 4.41 eV per formula unit. For the density of states at the Fermi level, the calculation gives 9.3 states/eV/f.u. For the energy above the most stable polymorph in this dataset, the calculation gives 0.000 eV per atom. As for the total DFT energy (no corrections): -0.4914 Ry/atom.

Cell lengths 4.667, 4.667, 4.667 Å; angles 90.00, 90.00, 90.00 degrees
Space group Pm-3m (No. 221)
Unique sites:
V  0.000  0.000  0.000
Re  0.500  0.500  0.500
Si  0.000  0.500  0.500